# HoThSn

HoThSn after structural relaxation (GGA-PBE, Alexandria).

Structure (CIF):
```
data_HoThSn
_chemical_formula_sum 'Ho1 Th1 Sn1'
_space_group_name_H-M_alt 'P 3 m 1'
_space_group_IT_number 156
_space_group_name_Hall 'P 3 -2"'
_cell_length_a 5.3063
_cell_length_b 5.3063
_cell_length_c 3.6459
_cell_angle_alpha 90.00
_cell_angle_beta 90.00
_cell_angle_gamma 120.00
loop_
_atom_site_label
_atom_site_fract_x
_atom_site_fract_y
_atom_site_fract_z
_atom_site_occupancy
Ho1 0.0000 0.0000 0.0000 1
Th1 0.6667 0.3333 0.5313 1
Sn1 0.3333 0.6667 0.1806 1
```

Formation energy ... -0.196 eV/atom

# Sm2DyHoSe5

Sm2DyHoSe5 after structural relaxation (GGA-PBE, Alexandria).

Structure (CIF):
```
data_Sm2DyHoSe5
_chemical_formula_sum 'Sm2 Dy1 Ho1 Se5'
_space_group_name_H-M_alt 'P 4/m m m'
_space_group_IT_number 123
_space_group_name_Hall '-P 4 2'
_cell_length_a 5.1295
_cell_length_b 5.1295
_cell_length_c 10.7285
_cell_angle_alpha 90.00
_cell_angle_beta 90.00
_cell_angle_gamma 90.00
loop_
_atom_site_label
_atom_site_fract_x
_atom_site_fract_y
_atom_site_fract_z
_atom_site_occupancy
Sm1 0.0000 0.0000 0.1701 1
Dy1 0.5000 0.5000 0.5000 1
Ho1 0.5000 0.5000 0.0000 1
Se1 0.0000 0.0000 0.5000 1
Se2 0.0000 0.5000 0.0000 1
Se3 0.5000 0.5000 0.2538 1
```

Formation energy without anion corrections ... -1.21 eV per atom

# LaIn2H

LaIn2H after structural relaxation (GGA-PBE, Alexandria).

Structure (CIF):
```
data_LaIn2H
_chemical_formula_sum 'La4 In8 H4'
_space_group_name_H-M_alt 'I -4 2 d'
_space_group_IT_number 122
_space_group_name_Hall 'I -4 2bw'
_cell_length_a 6.5840
_cell_length_b 6.5840
_cell_length_c 8.9189
_cell_angle_alpha 90.00
_cell_angle_beta 90.00
_cell_angle_gamma 90.00
loop_
_atom_site_label
_atom_site_fract_x
_atom_site_fract_y
_atom_site_fract_z
_atom_site_occupancy
La1 0.0000 0.0000 0.0000 1
In1 0.0829 0.2500 0.6250 1
H1 0.0000 0.0000 0.5000 1
```

Total DFT energy (no corrections) ... -3.400 eV/atom

| no. | magnetization (μB/cell) |
| --- | --- |
| 1 | 0.000 |
| 2 | 0.004 |
| 3 | 0.000 |